Tb2HoIn3Ir2Au | PBE | optimized geometry

Properties
Total magnetization   0.0 μB/f.u.
Uncorrected energy   -5.485 eV per atom

a b c (Å): 3.898 13.245 7.672
angles (deg): 90.00 90.00 90.00
Space group Amm2 (No. 38)
One atom of each set of equivalent atoms:
Tb: 0.000 0.205 0.000
Ho: 0.000 0.000 0.613
In: 0.500 0.000 0.935
In: 0.500 0.134 0.339
Ir: 0.500 0.166 0.704
Au: 0.000 0.000 0.205

***

TbHo2In3Ni2Au | PBE | optimized geometry

Properties
Total magnetization   0.0 μB/f.u.
Uncorrected energy   -4.599 eV per atom

a b c (Å): 3.908 13.049 7.534
angles (deg): 90.00 90.00 90.00
Space group Amm2 (No. 38)
One atom of each set of equivalent atoms:
Tb: 0.000 0.000 0.000
Ho: 0.000 0.204 0.612
In: 0.500 0.000 0.682
In: 0.500 0.137 0.272
Ni: 0.500 0.167 0.908
Au: 0.000 0.000 0.410

***

Tb2HoIn3Ni2Au | PBE | optimized geometry

Properties
Total magnetization   0.0 μB/f.u.
Uncorrected energy   -4.605 eV per atom

a b c (Å): 3.916 13.057 7.539
angles (deg): 90.00 90.00 90.00
Space group Amm2 (No. 38)
One atom of each set of equivalent atoms:
Tb: 0.000 0.204 0.000
Ho: 0.000 0.000 0.387
In: 0.500 0.000 0.069
In: 0.500 0.136 0.659
Ni: 0.500 0.166 0.296
Au: 0.000 0.000 0.794

***

HoTm2In3Ni2Au | PBE | optimized geometry

Properties
Total magnetization   0.0 μB/f.u.
Uncorrected energy   -4.565 eV per atom

a b c (Å): 3.877 12.991 7.495
angles (deg): 90.00 90.00 90.00
Space group Amm2 (No. 38)
One atom of each set of equivalent atoms:
Ho: 0.000 0.000 0.000
Tm: 0.000 0.204 0.611
In: 0.500 0.000 0.682
In: 0.500 0.138 0.271
Ni: 0.500 0.167 0.908
Au: 0.000 0.000 0.409

***

Ho2TmIn3Ni2Au | PBE | optimized geometry

Properties
Total magnetization   0.0 μB/f.u.
Uncorrected energy   -4.578 eV per atom

a b c (Å): 3.884 13.000 7.510
angles (deg): 90.00 90.00 90.00
Space group Amm2 (No. 38)
One atom of each set of equivalent atoms:
Ho: 0.000 0.204 0.000
Tm: 0.000 0.000 0.388
In: 0.500 0.000 0.070
In: 0.500 0.137 0.658
Ni: 0.500 0.166 0.296
Au: 0.000 0.000 0.795

***

Ho2In4PdAu | PBE | optimized geometry

Properties
Total magnetization   0.0 μB/f.u.
Uncorrected energy   -4.142 eV per atom

a b c (Å): 7.356 4.586 10.705
angles (deg): 90.00 90.00 90.00
Space group Amm2 (No. 38)
One atom of each set of equivalent atoms:
Ho: 0.000 0.000 0.000
Ho: 0.500 0.000 0.154
In: 0.199 0.000 0.707
In: 0.292 0.000 0.442
Pd: 0.000 0.000 0.279
Au: 0.500 0.000 0.871

***

TbHo2In3Pd2Au | PBE | optimized geometry

Properties
Total magnetization   0.0 μB/f.u.
Uncorrected energy   -4.737 eV per atom

a b c (Å): 3.821 13.524 7.796
angles (deg): 90.00 90.00 90.00
Space group Amm2 (No. 38)
One atom of each set of equivalent atoms:
Tb: 0.000 0.000 0.000
Ho: 0.000 0.203 0.609
In: 0.500 0.000 0.675
In: 0.500 0.135 0.272
Pd: 0.500 0.168 0.906
Au: 0.000 0.000 0.407

***

Ho2TmIn3Pd2Au | PBE | optimized geometry

Properties
Total magnetization   0.0 μB/f.u.
Uncorrected energy   -4.716 eV per atom

a b c (Å): 3.786 13.463 7.788
angles (deg): 90.00 90.00 90.00
Space group Amm2 (No. 38)
One atom of each set of equivalent atoms:
Ho: 0.000 0.203 0.000
Tm: 0.000 0.000 0.608
In: 0.500 0.000 0.932
In: 0.500 0.135 0.338
Pd: 0.500 0.166 0.702
Au: 0.000 0.000 0.203

***

HoTm2In3Pd2Au | PBE | optimized geometry

Properties
Total magnetization   0.0 μB/f.u.
Uncorrected energy   -4.702 eV per atom

a b c (Å): 3.757 13.508 7.781
angles (deg): 90.00 90.00 90.00
Space group Amm2 (No. 38)
One atom of each set of equivalent atoms:
Ho: 0.000 0.000 0.000
Tm: 0.000 0.202 0.606
In: 0.500 0.000 0.676
In: 0.500 0.136 0.268
Pd: 0.500 0.168 0.904
Au: 0.000 0.000 0.405

***

Y2HoIn3Pd2Au | PBE | optimized geometry

Properties
Total magnetization   0.0 μB/f.u.
Uncorrected energy   -5.156 eV per atom

a b c (Å): 3.827 13.494 7.812
angles (deg): 90.00 90.00 90.00
Space group Amm2 (No. 38)
One atom of each set of equivalent atoms:
Y: 0.000 0.203 0.000
Ho: 0.000 0.000 0.609
In: 0.500 0.000 0.933
In: 0.500 0.135 0.338
Pd: 0.500 0.165 0.702
Au: 0.000 0.000 0.204

***

Ho2In4PtAu | PBE | optimized geometry

Properties
Total magnetization   0.0 μB/f.u.
Uncorrected energy   -4.293 eV per atom

a b c (Å): 7.357 4.554 10.644
angles (deg): 90.00 90.00 90.00
Space group Amm2 (No. 38)
One atom of each set of equivalent atoms:
Ho: 0.000 0.000 0.000
Ho: 0.500 0.000 0.156
In: 0.200 0.000 0.709
In: 0.293 0.000 0.444
Pt: 0.000 0.000 0.281
Au: 0.500 0.000 0.872

***

TbHo2In3Pt2Au | PBE | optimized geometry

Properties
Total magnetization   0.0 μB/f.u.
Uncorrected energy   -5.067 eV per atom

a b c (Å): 3.799 13.491 7.776
angles (deg): 90.00 90.00 90.00
Space group Amm2 (No. 38)
One atom of each set of equivalent atoms:
Tb: 0.000 0.000 0.000
Ho: 0.000 0.204 0.388
In: 0.500 0.000 0.323
In: 0.500 0.135 0.727
Pt: 0.500 0.168 0.093
Au: 0.000 0.000 0.592

***

Tb2HoIn3Pt2Au | PBE | optimized geometry

Properties
Total magnetization   0.0 μB/f.u.
Uncorrected energy   -5.073 eV per atom

a b c (Å): 3.811 13.480 7.795
angles (deg): 90.00 90.00 90.00
Space group Amm2 (No. 38)
One atom of each set of equivalent atoms:
Tb: 0.000 0.204 0.000
Ho: 0.000 0.000 0.388
In: 0.500 0.000 0.065
In: 0.500 0.134 0.661
Pt: 0.500 0.166 0.296
Au: 0.000 0.000 0.796

***

TbHo2In3PtAu2 | PBE | optimized geometry

Properties
Total magnetization   0.0 μB/f.u.
Uncorrected energy   -4.679 eV per atom

a b c (Å): 3.948 13.364 7.709
angles (deg): 90.00 90.00 90.00
Space group Amm2 (No. 38)
One atom of each set of equivalent atoms:
Tb: 0.000 0.000 0.000
Ho: 0.000 0.200 0.602
In: 0.500 0.000 0.658
In: 0.500 0.128 0.273
Pt: 0.000 0.000 0.402
Au: 0.500 0.167 0.901

***

Ho2TmIn3PtAu2 | PBE | optimized geometry

Properties
Total magnetization   0.0 μB/f.u.
Uncorrected energy   -4.657 eV per atom

a b c (Å): 3.935 13.296 7.694
angles (deg): 90.00 90.00 90.00
Space group Amm2 (No. 38)
One atom of each set of equivalent atoms:
Ho: 0.000 0.201 0.000
Tm: 0.000 0.000 0.399
In: 0.500 0.000 0.056
In: 0.500 0.128 0.670
Pt: 0.000 0.000 0.798
Au: 0.500 0.165 0.300

***

YHo2In3Pt2Au | PBE | optimized geometry

Properties
Total magnetization   0.0 μB/f.u.
Uncorrected energy   -5.273 eV per atom

a b c (Å): 3.795 13.494 7.775
angles (deg): 90.00 90.00 90.00
Space group Amm2 (No. 38)
One atom of each set of equivalent atoms:
Y: 0.000 0.000 0.000
Ho: 0.000 0.204 0.389
In: 0.500 0.000 0.324
In: 0.500 0.135 0.728
Pt: 0.500 0.168 0.094
Au: 0.000 0.000 0.592

***

Y2HoIn3PtAu2 | PBE | optimized geometry

Properties
Total magnetization   0.0 μB/f.u.
Uncorrected energy   -5.099 eV per atom

a b c (Å): 3.949 13.365 7.720
angles (deg): 90.00 90.00 90.00
Space group Amm2 (No. 38)
One atom of each set of equivalent atoms:
Y: 0.000 0.200 0.000
Ho: 0.000 0.000 0.601
In: 0.500 0.000 0.944
In: 0.500 0.128 0.329
Pt: 0.000 0.000 0.201
Au: 0.500 0.166 0.700

***

YHo2In3PtAu2 | PBE | optimized geometry

Properties
Total magnetization   0.0 μB/f.u.
Uncorrected energy   -4.886 eV per atom

a b c (Å): 3.947 13.356 7.706
angles (deg): 90.00 90.00 90.00
Space group Amm2 (No. 38)
One atom of each set of equivalent atoms:
Y: 0.000 0.000 0.000
Ho: 0.000 0.200 0.398
In: 0.500 0.000 0.343
In: 0.500 0.128 0.727
Pt: 0.000 0.000 0.598
Au: 0.500 0.167 0.099

***

HoZrIn2Au4 | PBE | optimized geometry

Properties
Total magnetization   0.0 μB/f.u.
Uncorrected energy   -4.511 eV per atom

a b c (Å): 4.7250 4.7250 8.7759
angles (deg): 90.00 90.00 120.00
Space group P-6m2 (No. 187)
One atom of each set of equivalent atoms:
Ho: 0.0000 0.0000 0.0000
Zr: 0.3333 0.6667 0.5000
In: 0.6667 0.3333 0.2903
Au: 0.0000 0.0000 0.3421
Au: 0.3333 0.6667 0.1599

***

HoIrAu | PBE | optimized geometry

Properties
Total magnetization   0.0 μB/f.u.
Energy relative to the lowest polymorph listed for this composition   0.297 eV/atom
Uncorrected energy   -5.611 eV per atom

a b c (Å): 6.499 6.499 6.499
angles (deg): 90.00 90.00 90.00
Space group F-43m (No. 216)
One atom of each set of equivalent atoms:
Ho: 0.000 0.000 0.000
Ir: 0.250 0.250 0.250
Au: 0.250 0.250 0.750

***

HoIrAu | PBE | optimized geometry

Properties
Total magnetization   0.0 μB/f.u.
Energy relative to the lowest polymorph listed for this composition   0.000 eV/atom
Uncorrected energy   -5.908 eV per atom

a b c (Å): 6.477 6.477 6.477
angles (deg): 90.00 90.00 90.00
Space group F-43m (No. 216)
One atom of each set of equivalent atoms:
Ho: 0.000 0.000 0.000
Ir: 0.250 0.250 0.750
Au: 0.000 0.000 0.500

***

HoTm2Zn3Ir2Au | PBE | optimized geometry

Properties
Total magnetization   0.0 μB/f.u.
Uncorrected energy   -4.978 eV per atom

a b c (Å): 3.804 12.575 7.244
angles (deg): 90.00 90.00 90.00
Space group Amm2 (No. 38)
One atom of each set of equivalent atoms:
Ho: 0.000 0.000 0.000
Tm: 0.000 0.205 0.615
Zn: 0.500 0.000 0.676
Zn: 0.500 0.133 0.278
Ir: 0.500 0.168 0.910
Au: 0.000 0.000 0.412

***

KHoAu | PBE | optimized geometry

Properties
Total magnetization   0.0 μB/f.u.
Energy relative to the lowest polymorph listed for this composition   0.000 eV/atom
Uncorrected energy   -2.659 eV per atom

a b c (Å): 7.197 7.197 7.197
angles (deg): 90.00 90.00 90.00
Space group F-43m (No. 216)
One atom of each set of equivalent atoms:
K: 0.000 0.000 0.000
Ho: 0.250 0.250 0.750
Au: 0.000 0.000 0.500

***

KHoAuSe3 | PBE | optimized geometry

Properties
Total magnetization   0.2 μB/f.u.
Uncorrected energy   -4.342 eV per atom

a b c (Å): 4.078 15.442 10.649
angles (deg): 90.00 90.00 90.00
Space group Cmcm (No. 63)
One atom of each set of equivalent atoms:
K: 0.000 0.243 0.250
Ho: 0.000 0.000 0.000
Au: 0.000 0.467 0.750
Se: 0.000 0.077 0.750
Se: 0.000 0.372 0.550